(1)
Here is Na3HoRh2O6 after structural relaxation from Alexandria. Energies are from GGA-PBE.

Calculated values
uncorrected formation energy	-1.67	eV per atom

Lattice parameters (Å, degrees): 5.482 5.482 5.811 98.97 98.97 120.01
Atoms (fractional coordinates):
Na (0.000, 0.000, 0.000)
Na (0.328, 0.672, 0.000)
Na (0.672, 0.328, 0.000)
Ho (0.500, 0.500, 0.500)
Rh (0.166, 0.834, 0.500)
Rh (0.834, 0.166, 0.500)
O (0.077, 0.430, 0.289)
O (0.219, 0.219, 0.714)
O (0.430, 0.077, 0.289)
O (0.570, 0.923, 0.711)
O (0.781, 0.781, 0.286)
O (0.923, 0.570, 0.711)

***

(2)
Here is Na3Ho3RhO8 after structural relaxation from Alexandria. Energies are from GGA-PBE.

Calculated values
uncorrected formation energy	-2.38	eV per atom
DOS at the Fermi energy	7.294	states/eV/f.u.

Lattice parameters (Å, degrees): 6.752 6.752 6.752 59.04 59.04 59.04
Atoms (fractional coordinates):
Na (0.000, 0.500, 0.500)
Na (0.500, 0.000, 0.500)
Na (0.500, 0.500, 0.000)
Ho (0.000, 0.000, 0.500)
Ho (0.000, 0.500, 0.000)
Ho (0.500, 0.000, 0.000)
Rh (0.500, 0.500, 0.500)
O (0.236, 0.236, 0.236)
O (0.260, 0.720, 0.720)
O (0.280, 0.280, 0.740)
O (0.280, 0.740, 0.280)
O (0.720, 0.260, 0.720)
O (0.720, 0.720, 0.260)
O (0.740, 0.280, 0.280)
O (0.764, 0.764, 0.764)

***

(3)
Here is NaHo2RhO5 after structural relaxation from Alexandria. Energies are from GGA-PBE.

Calculated values
uncorrected formation energy	-2.30	eV per atom
DOS at the Fermi energy	4.311	states/eV/f.u.

Lattice parameters (Å, degrees): 6.507 6.507 5.747 90.00 90.00 90.00
Atoms (fractional coordinates):
Na (0.000, 0.000, 0.000)
Na (0.500, 0.500, 0.000)
Ho (0.176, 0.324, 0.500)
Ho (0.324, 0.824, 0.500)
Ho (0.676, 0.176, 0.500)
Ho (0.824, 0.676, 0.500)
Rh (0.000, 0.500, 0.000)
Rh (0.500, 0.000, 0.000)
O (0.000, 0.000, 0.500)
O (0.139, 0.639, 0.257)
O (0.139, 0.639, 0.743)
O (0.361, 0.139, 0.257)
O (0.361, 0.139, 0.743)
O (0.500, 0.500, 0.500)
O (0.639, 0.861, 0.257)
O (0.639, 0.861, 0.743)
O (0.861, 0.361, 0.257)
O (0.861, 0.361, 0.743)

***

(4)
Here is Na3HoRh3O8 after structural relaxation from Alexandria. Energies are from GGA-PBE.

Calculated values
uncorrected formation energy	-1.43	eV per atom
DOS at the Fermi energy	4.924	states/eV/f.u.

Lattice parameters (Å, degrees): 6.584 6.584 6.584 57.03 57.03 57.03
Atoms (fractional coordinates):
Na (0.000, 0.500, 0.500)
Na (0.500, 0.000, 0.500)
Na (0.500, 0.500, 0.000)
Ho (0.500, 0.500, 0.500)
Rh (0.000, 0.000, 0.500)
Rh (0.000, 0.500, 0.000)
Rh (0.500, 0.000, 0.000)
O (0.214, 0.744, 0.744)
O (0.231, 0.231, 0.231)
O (0.256, 0.256, 0.786)
O (0.256, 0.786, 0.256)
O (0.744, 0.214, 0.744)
O (0.744, 0.744, 0.214)
O (0.769, 0.769, 0.769)
O (0.786, 0.256, 0.256)

***

(5)
Here is Na2HoRhO4 after structural relaxation from Alexandria. Energies are from GGA-PBE.

Calculated values
uncorrected formation energy	-1.94	eV per atom

Lattice parameters (Å, degrees): 5.396 3.301 5.897 90.00 109.05 90.00
Atoms (fractional coordinates):
Na (0.000, 0.000, 0.000)
Na (0.500, 0.500, 0.000)
Ho (0.000, 0.500, 0.500)
Rh (0.500, 0.000, 0.500)
O (0.248, 0.000, 0.720)
O (0.288, 0.500, 0.293)
O (0.712, 0.500, 0.707)
O (0.752, 0.000, 0.280)

***

(6)
Here is Na3Ho2RuO6 after structural relaxation from Alexandria. Energies are from GGA-PBE.

Calculated values
uncorrected formation energy	-2.20	eV per atom
DOS at the Fermi energy	8.413	states/eV/f.u.

Lattice parameters (Å, degrees): 5.654 5.654 5.886 99.09 99.09 119.56
Atoms (fractional coordinates):
Na (0.000, 0.000, 0.000)
Na (0.342, 0.658, 0.000)
Na (0.658, 0.342, 0.000)
Ho (0.169, 0.831, 0.500)
Ho (0.831, 0.169, 0.500)
Ru (0.500, 0.500, 0.500)
O (0.107, 0.426, 0.283)
O (0.253, 0.253, 0.708)
O (0.426, 0.107, 0.283)
O (0.574, 0.893, 0.717)
O (0.747, 0.747, 0.292)
O (0.893, 0.574, 0.717)

***

(7)
Here is NaHoRu2O8 after structural relaxation from Alexandria. Energies are from GGA-PBE.

Calculated values
uncorrected formation energy	-1.45	eV per atom
DOS at the Fermi energy	6.403	states/eV/f.u.

Lattice parameters (Å, degrees): 6.828 6.828 6.828 135.19 135.19 65.24
Atoms (fractional coordinates):
Na (0.000, 0.000, 0.000)
Ho (0.750, 0.250, 0.500)
Ru (0.250, 0.750, 0.500)
Ru (0.500, 0.500, 0.000)
O (0.007, 0.922, 0.587)
O (0.078, 0.665, 0.085)
O (0.164, 0.268, 0.606)
O (0.335, 0.420, 0.413)
O (0.443, 0.836, 0.104)
O (0.580, 0.993, 0.915)
O (0.662, 0.557, 0.394)
O (0.732, 0.338, 0.896)

***

(8)
Here is Na4Ho3RuO8 after structural relaxation from Alexandria. Energies are from GGA-PBE.

Calculated values
uncorrected formation energy	-2.34	eV per atom
DOS at the Fermi energy	7.659	states/eV/f.u.

Lattice parameters (Å, degrees): 6.756 6.756 6.756 58.67 58.67 58.67
Atoms (fractional coordinates):
Na (0.000, 0.000, 0.000)
Na (0.000, 0.500, 0.500)
Na (0.500, 0.000, 0.500)
Na (0.500, 0.500, 0.000)
Ho (0.000, 0.000, 0.500)
Ho (0.000, 0.500, 0.000)
Ho (0.500, 0.000, 0.000)
Ru (0.500, 0.500, 0.500)
O (0.237, 0.237, 0.237)
O (0.250, 0.732, 0.732)
O (0.268, 0.268, 0.750)
O (0.268, 0.750, 0.268)
O (0.732, 0.250, 0.732)
O (0.732, 0.732, 0.250)
O (0.750, 0.268, 0.268)
O (0.763, 0.763, 0.763)